Arrangement i

Material: BeVIO2
Method: DFT, GGA+U
State: optimized geometry

```
BeVIO2
1.0
3.659 0.000 0.000
0.000 5.961 0.000
0.000 0.000 3.659
I Be O V
1 1 2 1
Direct
0.500 0.500 0.500 I
0.000 0.000 0.000 Be
0.000 0.000 0.500 O
0.500 0.000 0.000 O
0.000 0.500 0.000 V
```

Summary:
N(E_F) = 4.07 states/eV/cell
space group = No. 123
theoretical density = 4.6 g/cm³

Arrangement ii

Material: BeVIO2
Method: DFT, GGA+U
State: optimized geometry

```
BeVIO2
1.0
-3.000 1.192 -1.853
-2.181 -1.160 2.785
0.586 6.198 3.040
I Be O V
1 1 2 1
Direct
0.000 0.000 0.500 I
0.500 0.500 0.500 Be
0.000 0.500 0.000 O
0.500 0.000 0.000 O
0.000 0.000 0.000 V
```

Summary:
N(E_F) = 2.07 states/eV/cell
space group = No. 123
theoretical density = 3.8 g/cm³

Taking the most stable structure as the zero point, the relative energies in meV per atom are arrangement i 564; arrangement ii 0.